Entry 1:
Be2TlFe | PBE | relaxed

POSCAR file:
```
Be2TlFe
1.0
2.944 0.000 0.000
0.000 2.944 0.000
0.000 0.000 5.971
Be Tl Fe
2 1 1
direct
0.000 0.000 0.168 Be
0.000 0.000 0.832 Be
0.500 0.500 0.500 Tl
0.500 0.500 0.000 Fe
```

Summary:
symmetry: P4/mmm, No. 123
polymorph energy (0 for the lowest one): 0.0 kJ/mol of atoms
calculated total energy: -4.22 eV per atom
calculated formation energy: 1.41 eV per formula unit

Entry 2:
CaPr6Dy3Y2 | PBE | relaxed

POSCAR file:
```
CaPr6Dy3Y2
1.0
3.178 -5.502 0.000
3.178 5.502 0.000
-2.107 0.000 11.811
Ca Pr Dy Y
1 6 3 2
direct
0.000 0.000 0.000 Ca
0.085 0.425 0.254 Pr
0.254 0.254 0.746 Pr
0.425 0.085 0.254 Pr
0.575 0.915 0.746 Pr
0.746 0.746 0.254 Pr
0.915 0.575 0.746 Pr
0.167 0.833 0.500 Dy
0.500 0.500 0.500 Dy
0.833 0.167 0.500 Dy
0.333 0.667 0.000 Y
0.667 0.333 0.000 Y
```

Summary:
symmetry: C2/m, No. 12
calculated total energy: -4.76 eV per atom
calculated formation energy: 0.33 eV per formula unit

Entry 3:
Pu2TlPt | PBE | relaxed

POSCAR file:
```
Pu2TlPt
1.0
2.270 1.311 6.243
-2.270 1.311 6.243
0.000 -2.622 6.243
Pu Tl Pt
2 1 1
direct
0.000 0.000 0.000 Pu
0.199 0.199 0.199 Pu
0.767 0.767 0.767 Tl
0.602 0.602 0.602 Pt
```

Summary:
symmetry: R3m, No. 160
polymorph energy (0 for the lowest one): 14.6 kJ/mol of atoms
calculated total energy: -9.41 eV per atom
calculated formation energy: -0.55 eV per formula unit

Entry 4:
MnCdPt2 | PBE | relaxed

POSCAR file:
```
MnCdPt2
1.0
1.455 0.840 8.961
-1.455 0.840 8.961
0.000 -1.680 8.961
Mn Cd Pt
1 1 2
direct
0.000 0.000 0.000 Mn
0.500 0.500 0.500 Cd
0.257 0.257 0.257 Pt
0.743 0.743 0.743 Pt
```

Summary:
symmetry: R-3m, No. 166
calculated total energy: -5.77 eV per atom
calculated formation energy: -0.91 eV per formula unit

Entry 5:
KNaSb | PBE | relaxed

POSCAR file:
```
KNaSb
1.0
5.852 0.000 0.000
-2.926 5.068 0.000
0.000 0.000 9.006
K Na Sb
2 2 2
direct
0.000 0.000 0.241 K
0.000 0.000 0.759 K
0.333 0.667 0.500 Na
0.667 0.333 0.000 Na
0.333 0.667 0.162 Sb
0.333 0.667 0.838 Sb
```

Summary:
symmetry: P-6m2, No. 187
raw formation energy: -0.187 eV/atom
polymorph energy (0 for the lowest one): 14.6 kJ/mol of atoms
calculated total energy: -2.37 eV per atom

Entry 6:
AgGeC2N | PBE | relaxed

POSCAR file:
```
AgGeC2N
1.0
3.780 0.000 0.000
0.000 3.780 0.000
0.000 0.000 4.348
Ag Ge C N
1 1 2 1
direct
0.000 0.000 0.000 Ag
0.500 0.500 0.000 Ge
0.000 0.500 0.500 C
0.500 0.000 0.500 C
0.000 0.000 0.500 N
```

Summary:
symmetry: P4/mmm, No. 123
raw formation energy: 2.660 eV/atom
calculated total energy: -4.19 eV per atom

Entry 7:
NaTbGdCd | PBE | relaxed

POSCAR file:
```
NaTbGdCd
1.0
0.000 3.836 3.836
3.836 0.000 3.836
3.836 3.836 0.000
Na Tb Gd Cd
1 1 1 1
direct
0.000 0.000 0.000 Na
0.250 0.250 0.250 Tb
0.750 0.750 0.750 Gd
0.500 0.500 0.500 Cd
```

Summary:
symmetry: F-43m, No. 216
calculated total energy: -5.22 eV per atom
calculated formation energy: 0.06 eV per formula unit

Entry 8:
PmPaRu2 | PBE | relaxed

POSCAR file:
```
PmPaRu2
1.0
5.604 0.000 0.000
0.000 4.331 0.000
-2.408 0.000 7.098
Pm Pa Ru
2 2 4
direct
0.236 0.250 0.435 Pm
0.764 0.750 0.565 Pm
0.198 0.250 0.919 Pa
0.802 0.750 0.081 Pa
0.301 0.750 0.150 Ru
0.320 0.750 0.759 Ru
0.680 0.250 0.241 Ru
0.699 0.250 0.850 Ru
```

Summary:
symmetry: P2_1/m, No. 11
polymorph energy (0 for the lowest one): 0.0 kJ/mol of atoms
calculated total energy: -8.68 eV per atom
calculated formation energy: -1.92 eV per formula unit